This record from the Alexandria database describes a relaxed structure of As3PN. The functional is PBE.

Summary:
Energy above the lowest structure with this stoichiometry: 778 meV/atom
Formation energy (no corrections): 1.71 eV per atom
Magnetic moment: 2.57 μB per formula unit

a b c (Å): 4.7784 4.7784 4.7784
angles (deg): 90.00 90.00 90.00
Last column: nearest neighbours and their distance in Å.
Space group Pm-3m (No. 221)
One atom of each set of equivalent atoms:
1 As 0.0000 0.0000 0.5000 (multiplicity 3)  2 P 2.39
2 P 0.0000 0.0000 0.0000 (multiplicity 1)  6 As 2.39
3 N 0.5000 0.5000 0.5000 (multiplicity 1)  12 As 3.38

***

This record from the Alexandria database describes a relaxed structure of OsBrCl2. The functional is PBE.

Summary:
Energy above the lowest structure with this stoichiometry: 361 meV/atom
Formation energy (no corrections): 0.27 eV per atom
Magnetic moment: 0.61 μB per formula unit

a b c (Å): 3.5940 3.5940 25.7975
angles (deg): 90.00 90.00 120.00
Last column: nearest neighbours and their distance in Å.
Space group R-3m (No. 166, hexagonal axes)
One atom of each set of equivalent atoms:
1 Os 0.0000 0.0000 0.0000 (multiplicity 3)  6 Cl 2.40
2 Br 0.0000 0.0000 0.5000 (multiplicity 3)  6 Br 3.59, 6 Cl 3.73
3 Cl 0.0000 0.0000 0.2870 (multiplicity 6)  3 Os 2.40

***

This record from the Alexandria database describes a relaxed structure of Tl2CrRe. The functional is PBE.

Summary:
Energy above the lowest structure with this stoichiometry: 312 meV/atom
Magnetic moment: 0.98 μB per formula unit

a b c (Å): 12.1410 3.0561 4.8403
angles (deg): 90.00 112.93 90.00
Last column: nearest neighbours and their distance in Å.
Space group Cm (No. 8)
One atom of each set of equivalent atoms:
1 Tl 0.0000 0.0000 0.0000 (multiplicity 2)  4 Cr 2.91-2.97, 3 Tl 3.06-3.21, 1 Re 3.24
2 Tl 0.2126 0.0000 0.7622 (multiplicity 2)  4 Re 2.97-2.99, 3 Tl 3.06-3.21
3 Cr 0.4399 0.0000 0.4335 (multiplicity 2)  2 Re 2.31
4 Re 0.2866 0.5000 0.3380 (multiplicity 2)  2 Cr 2.31

***

This record from the Alexandria database describes a relaxed structure of Li2AlPd4. The functional is PBE.

Summary:
Energy above the lowest structure with this stoichiometry: 0 meV/atom
Magnetic moment: 0.00 μB per formula unit

a b c (Å): 5.9156 5.9156 5.8786
angles (deg): 90.00 90.00 90.00
Last column: nearest neighbours and their distance in Å.
Space group I4/mmm (No. 139)
One atom of each set of equivalent atoms:
1 Li 0.0000 0.5000 0.0000 (multiplicity 4)  8 Pd 2.56
2 Al 0.0000 0.0000 0.0000 (multiplicity 2)  8 Pd 2.56
3 Pd 0.2500 0.2500 0.2500 (multiplicity 8)  2 Al 2.56, 4 Li 2.56

***

This record from the Alexandria database describes a relaxed structure of AsRhCl2. The functional is PBE.

Summary:
Energy above the lowest structure with this stoichiometry: 1154 meV/atom
Formation energy (no corrections): 0.55 eV per atom
Magnetic moment: 0.02 μB per formula unit

a b c (Å): 6.5109 6.5109 6.5109
angles (deg): 90.00 90.00 90.00
Last column: nearest neighbours and their distance in Å.
Space group Fm-3m (No. 225)
One atom of each set of equivalent atoms:
1 As 0.0000 0.0000 0.0000 (multiplicity 4)  8 Cl 2.82
2 Rh 0.0000 0.0000 0.5000 (multiplicity 4)  8 Cl 2.82
3 Cl 0.2500 0.2500 0.2500 (multiplicity 8)  4 Rh 2.82, 4 As 2.82

***

This record from the Alexandria database describes a relaxed structure of UAl2Pd5. The functional is PBE.

Summary:
Final energy: -100.64 eV for the cell shown
Magnetic moment: 2.29 μB per formula unit

a b c (Å): 4.1932 4.1932 14.8609
angles (deg): 90.00 90.00 90.00
Last column: nearest neighbours and their distance in Å.
Space group I4/mmm (No. 139)
One atom of each set of equivalent atoms:
1 U 0.0000 0.0000 0.0000 (multiplicity 2)  12 Pd 2.97-3.00
2 Al 0.0000 0.0000 0.2538 (multiplicity 4)  8 Pd 2.59-2.66
3 Pd 0.0000 0.0000 0.5000 (multiplicity 2)  4 U 2.97, 8 Pd 3.00
4 Pd 0.0000 0.5000 0.1441 (multiplicity 8)  4 Al 2.59-2.66